# HfInCoBr2, relaxed, DFT GGA-PBE
# Calculated total energy (eV per cell): -17.15
# Total magnetic moment (μB per formula unit): 1.178
data_HfInCoBr2
_chemical_formula_sum 'Hf1 In1 Co1 Br2'
_cell_length_a 5.285
_cell_length_b 5.285
_cell_length_c 6.051
_cell_angle_alpha 90.00
_cell_angle_beta 90.00
_cell_angle_gamma 90.00
_space_group_name_H-M_alt 'P 4/m m m'
_space_group_IT_number 123
_space_group_name_Hall '-P 4 2'
loop_
_atom_site_label
_atom_site_type_symbol
_atom_site_fract_x
_atom_site_fract_y
_atom_site_fract_z
Hf1 Hf 0.000 0.000 0.000
In1 In 0.000 0.000 0.500
Co1 Co 0.500 0.500 0.000
Br1 Br 0.000 0.500 0.500